## LaMgFeMoO6 (PBE with a Hubbard U)

Data for a geometry-optimized LaMgFeMoO6 structure.

The structure belongs to space group Pc (No. 7); the cell edges are 5.444, 5.633 and 9.492 Å and the angles 90.00°, 124.05° and 90.00°. Symmetry generates all atoms from La at (0.000, 0.202, 0.000), Mg at (0.496, 0.292, 0.522), Fe at (0.236, 0.245, 0.747), Mo at (0.733, 0.264, 0.247), O at (0.125, 0.071, 0.313), O at (0.367, 0.490, 0.169), O at (0.484, 0.044, 0.684), O at (0.563, 0.305, 0.990), O at (0.844, 0.219, 0.490) and O at (0.956, 0.434, 0.778).

For the total magnetic moment, the calculation gives 14.000 μB/cell. As for the total energy: -142.89 eV for the cell shown. The volume comes out at 120.57 Å³/f.u.